(1)
First-principles (PBE-GGA) data for a geometry-optimized AcSm2Dy4Er structure, as listed in Alexandria.

Results
Crystal system: orthorhombic
Space group: Pmmm (47)

abc: 5.1276 5.1075 11.4018
angles: 63.37 90.00 90.00
Atoms (fractional coordinates):
Dy 0.0000 0.7585 0.7414
Dy 0.0000 0.2415 0.2586
Dy 0.5000 0.2584 0.7416
Dy 0.5000 0.7416 0.2584
Ac 0.5000 0.5000 0.0000
Er 0.0000 0.5000 0.5000
Sm 0.5000 0.0000 0.5000
Sm 0.0000 0.0000 0.0000


(2)
First-principles (PBE-GGA) data for a geometry-optimized LiTbGaAu structure, as listed in Alexandria.

Results
Crystal system: cubic
Relative energy among the computed polymorphs, eV per atom: 0.000
Space group: F-43m (216)

abc: 4.7329 4.7329 4.7329
angles: 60.00 60.00 60.00
Atoms (fractional coordinates):
Au 0.0000 0.0000 0.0000
Tb 0.2500 0.2500 0.2500
Li 0.5000 0.5000 0.5000
Ga 0.7500 0.7500 0.7500


(3)
First-principles (PBE-GGA) data for a geometry-optimized La2SiMo structure, as listed in Alexandria.

Results
Formation energy (no corrections), eV per atom: -0.161
Crystal system: monoclinic
Space group: Pm (6)

abc: 4.2580 4.4062 6.0247
angles: 68.61 90.00 90.00
Atoms (fractional coordinates):
La 0.5000 0.2631 0.3470
La 0.0000 0.9870 0.9036
Mo 0.0000 0.6833 0.5074
Si 0.5000 0.5666 0.7420


(4)
First-principles (PBE-GGA) data for a geometry-optimized MgCuBi structure, as listed in Alexandria.

Results
Crystal system: hexagonal
Space group: P6_3mc (186)

abc: 4.4950 4.4926 7.6045
angles: 90.01 90.00 119.99
Atoms (fractional coordinates):
Cu 0.9086 0.3232 0.0141
Cu 0.2425 0.9904 0.5141
Bi 0.9090 0.3237 0.6492
Bi 0.2422 0.9901 0.1492
Mg 0.5751 0.6565 0.8975
Mg 0.5759 0.6572 0.3975


Number 1: final energy -4.5268 eV/atom. Number 2: final energy -3.8232 eV/atom. Number 3: final energy -6.6883 eV/atom. Number 4: final energy -3.2080 eV/atom.